No. 1
## LiSc3Rh4 (PBE-GGA)

Data for a geometry-optimized LiSc3Rh4 structure.

Properties
energy of formation from the pure elements: -0.8398 eV per atom
crystal system: trigonal

a b c (Å): 4.4813 4.4813 21.9214
angles (deg): 90.00 90.00 120.00
Last column: nearest neighbours and their distance in Å.
Space group R-3m (No. 166, hexagonal axes)
One atom of each set of equivalent atoms:
Li1 0.0000 0.0000 0.0000  8 Rh 2.74-2.75
Sc1 0.0000 0.0000 0.2556  8 Rh 2.64-2.86
Sc2 0.0000 0.0000 0.5000  8 Rh 2.71-2.74
Rh1 0.0000 0.0000 0.1249  1 Li 2.74, 7 Sc 2.74-2.86
Rh2 0.0000 0.0000 0.3762  5 Sc 2.64-2.71, 3 Li 2.75

No. 2
## Li2ScRh2 (PBE-GGA)

Data for a geometry-optimized Li2ScRh2 structure.

Properties
energy of formation from the pure elements: -0.2336 eV per atom
crystal system: tetragonal

a b c (Å): 6.7971 6.7971 3.2575
angles (deg): 90.00 90.00 90.00
Last column: nearest neighbours and their distance in Å.
Space group P4/mbm (No. 127)
One atom of each set of equivalent atoms:
Li1 0.1476 0.3524 0.0000  6 Rh 2.56-2.58, 1 Li 2.84
Sc1 0.0000 0.0000 0.5000  4 Rh 2.60
Rh1 0.1468 0.6468 0.5000  6 Li 2.56-2.58, 2 Sc 2.60, 1 Rh 2.82

No. 3
## LiScRh2 (PBE-GGA)

Data for a geometry-optimized LiScRh2 structure.

Properties
energy of formation from the pure elements: -0.5985 eV per atom
crystal system: cubic

a b c (Å): 6.1825 6.1825 6.1825
angles (deg): 90.00 90.00 90.00
Last column: nearest neighbours and their distance in Å.
Space group Fm-3m (No. 225)
One atom of each set of equivalent atoms:
Li1 0.0000 0.0000 0.0000  8 Rh 2.68
Sc1 0.0000 0.0000 0.5000  8 Rh 2.68
Rh1 0.2500 0.2500 0.2500  4 Li 2.68, 4 Sc 2.68

No. 4
## Li2ScRh (PBE-GGA)

Data for a geometry-optimized Li2ScRh structure.

Properties
energy of formation from the pure elements: -0.0755 eV per atom
crystal system: orthorhombic

a b c (Å): 5.0634 8.0922 3.1418
angles (deg): 90.00 90.00 90.00
Last column: nearest neighbours and their distance in Å.
Space group Cmmm (No. 65)
One atom of each set of equivalent atoms:
Li1 0.2500 0.2500 0.0000  2 Li 2.53
Sc1 0.0000 0.0000 0.5000  2 Rh 2.53
Rh1 0.0000 0.5000 0.5000  2 Sc 2.53

No. 5
## LiSc4Rh5 (PBE-GGA)

Data for a geometry-optimized LiSc4Rh5 structure.

Properties
energy of formation from the pure elements: -0.8666 eV per atom
crystal system: tetragonal

a b c (Å): 3.1979 3.1979 15.6750
angles (deg): 90.00 90.00 90.00
Last column: nearest neighbours and their distance in Å.
Space group P4/mmm (No. 123)
One atom of each set of equivalent atoms:
Li1 0.0000 0.0000 0.0000  8 Rh 2.67, 2 Sc 2.90
Sc1 0.0000 0.0000 0.1847  8 Rh 2.70-2.84, 1 Li 2.90
Sc2 0.0000 0.0000 0.3952  8 Rh 2.76-2.79
Rh1 0.5000 0.5000 0.0911  4 Li 2.67, 4 Sc 2.70, 1 Rh 2.85
Rh2 0.5000 0.5000 0.2941  8 Sc 2.76-2.84
Rh3 0.5000 0.5000 0.5000  8 Sc 2.79

No. 6
## Li2ScRh (PBE-GGA)

Data for a geometry-optimized Li2ScRh structure.

Properties
energy of formation from the pure elements: -0.1583 eV per atom
crystal system: cubic

a b c (Å): 6.2072 6.2072 6.2072
angles (deg): 90.00 90.00 90.00
Last column: nearest neighbours and their distance in Å.
Space group Fm-3m (No. 225)
One atom of each set of equivalent atoms:
Li1 0.2500 0.2500 0.2500  4 Sc 2.69, 4 Rh 2.69
Sc1 0.0000 0.0000 0.0000  8 Li 2.69
Rh1 0.0000 0.0000 0.5000  8 Li 2.69

No. 7
## Li2ScRh (PBE-GGA)

Data for a geometry-optimized Li2ScRh structure.

Properties
energy of formation from the pure elements: -0.3246 eV per atom
crystal system: cubic

a b c (Å): 6.3478 6.3478 6.3478
angles (deg): 90.00 90.00 90.00
Last column: nearest neighbours and their distance in Å.
Space group F-43m (No. 216)
One atom of each set of equivalent atoms:
Li1 0.0000 0.0000 0.0000  4 Li 2.75, 4 Sc 2.75
Li2 0.2500 0.2500 0.2500  4 Li 2.75, 4 Rh 2.75
Sc1 0.2500 0.2500 0.7500  4 Li 2.75, 4 Rh 2.75
Rh1 0.0000 0.0000 0.5000  4 Li 2.75, 4 Sc 2.75

No. 8
## LiScRh2 (PBE-GGA)

Data for a geometry-optimized LiScRh2 structure.

Properties
energy of formation from the pure elements: -0.4563 eV per atom
crystal system: tetragonal

a b c (Å): 3.7540 3.7540 8.5649
angles (deg): 90.00 90.00 90.00
Last column: nearest neighbours and their distance in Å.
Space group I-4m2 (No. 119)
One atom of each set of equivalent atoms:
Li1 0.0000 0.0000 0.0000  8 Rh 2.65-2.85, 4 Sc 2.85
Sc1 0.0000 0.5000 0.2500  8 Rh 2.65-2.85, 4 Li 2.85
Rh1 0.0000 0.0000 0.5000  4 Li 2.65, 4 Sc 2.85, 4 Rh 2.85
Rh2 0.0000 0.5000 0.7500  4 Sc 2.65, 4 Rh 2.85, 4 Li 2.85

VASP energy list, top to bottom, in eV for the cell shown: -171.1 -52.1 -101.4 -35.6 -72.7 -72.6 -75.2 -49.5